! CrAg2HgO4 GGA+U relaxed; values from VASP
&SYSTEM
  ibrav = 0, nat = 8, ntyp = 4
/
ATOMIC_SPECIES
Cr 52.00 Cr.upf
Ag 107.87 Ag.upf
Hg 200.59 Hg.upf
O 16.00 O.upf
ATOMIC_POSITIONS angstrom
Cr 0.000 0.000 0.000
Ag 2.916 0.000 1.989
Ag 0.000 2.916 1.989
Hg 0.000 0.000 3.978
O 0.966 0.966 -0.988
O 1.951 -1.951 4.967
O 1.951 1.951 2.990
O -1.951 1.951 4.967
CELL_PARAMETERS angstrom
-2.916 2.916 3.978
2.916 -2.916 3.978
2.916 2.916 -3.978
! electronic total energy	-4.786	eV per atom